A plane-wave DFT calculation with PBE was carried out for a relaxed PrSm2Tm6 crystal.

Geometry as extended XYZ:
```
9
Lattice="-0.341 -2.108 -2.794 7.754 -5.022 2.841 -8.807 -2.586 3.026" Properties=species:S:1:pos:R:3 pbc="T T T"
Sm -3.539 -4.954 0.901
Sm 2.144 -4.761 2.171
Tm -0.432 -4.242 -0.145
Tm 1.614 -8.198 2.590
Tm -3.008 -1.517 0.483
Tm -0.963 -5.474 3.217
Tm 4.733 -5.042 -0.172
Tm -6.127 -4.673 3.244
Pr -0.171 -1.054 -1.397
```

Computed properties:
DFT formation energy: 0.07 eV/atom
Space-group type: P-3 (147)
Total moment: 0.000 μB/atom
Polymorph energy (0 for the lowest one): 0.0 meV/atom
Uncorrected energy: -4.489 eV/atom